Entry 1:
The following is a DFT calculation (PBE-GGA) of a geometry-optimized RbPmSn structure.

Cell lengths 5.721, 5.721, 8.233 Å; angles 90.00, 90.00, 90.00 degrees
Fractional coordinates of all 6 atoms:
Rb 0.250 0.750 0.000
Rb 0.750 0.250 0.000
Pm 0.250 0.750 0.500
Pm 0.750 0.250 0.500
Sn 0.250 0.250 0.325
Sn 0.750 0.750 0.675

As for the symmetry: P4/nmm. Its formation energy is -281.6 meV/atom.

Entry 2:
The following is a DFT calculation (PBE-GGA) of a geometry-optimized Ac8Pd5Pt structure.

Cell lengths 8.272, 8.272, 8.272 Å; angles 109.54, 109.54, 109.34 degrees
Fractional coordinates of all 14 atoms:
Ac 0.262 0.515 0.140
Ac 0.375 0.122 0.362
Ac 0.375 0.122 0.860
Ac 0.485 0.625 0.747
Ac 0.760 0.013 0.638
Ac 0.878 0.240 0.253
Ac 0.878 0.738 0.253
Ac 0.987 0.625 0.747
Pd 0.000 0.000 0.000
Pd 0.124 0.251 0.628
Pd 0.504 0.876 0.127
Pd 0.623 0.496 0.372
Pd 0.749 0.377 0.873
Pt 0.250 0.750 0.500

As for the symmetry: I-4. Its formation energy is -742.2 meV/atom.

Entry 3:
The following is a DFT calculation (PBE-GGA) of a geometry-optimized Dy4ScHg structure.

Cell lengths 8.162, 8.162, 6.220 Å; angles 99.78, 99.78, 116.37 degrees
Fractional coordinates of all 12 atoms:
Dy 0.092 0.710 0.951
Dy 0.187 0.396 0.636
Dy 0.290 0.908 0.549
Dy 0.396 0.187 0.136
Dy 0.604 0.813 0.864
Dy 0.710 0.092 0.451
Dy 0.813 0.604 0.364
Dy 0.908 0.290 0.049
Sc 0.396 0.604 0.250
Sc 0.604 0.396 0.750
Hg 0.001 0.999 0.750
Hg 0.999 0.001 0.250

As for the symmetry: C2/c. The energy above the most stable polymorph in this dataset comes out at 106.4 meV per atom. Its formation energy is -21.6 meV/atom.

Number 1: ρ 4303 kg/m3. Number 2: ρ 9694 kg/m3. Number 3: ρ 8462 kg/m3.